Entry 1:
Below is a geometry-optimized SbTe12Pd7 structure, with properties calculated at the PBE level.

Summary:
M_tot: 0.0 Bohr magnetons per cell
uncorrected energy: -4.1290 eV per atom
symmetry: R-3

Cell lengths 8.4777, 8.4777, 8.4777 Å; angles 104.35, 104.35, 104.35 degrees
Last column: nearest neighbours and their distance in Å.
Atoms (fractional coordinates):
Sb (0.0000, 0.0000, 0.0000)  6 Pd 2.84
Te (0.0365, 0.2217, 0.7031)  3 Pd 2.69-2.88
Te (0.1571, 0.4539, 0.3832)  3 Pd 2.65-2.72
Te (0.2217, 0.7031, 0.0365)  3 Pd 2.69-2.88
Te (0.2969, 0.9635, 0.7783)  3 Pd 2.69-2.88
Te (0.3832, 0.1571, 0.4539)  3 Pd 2.65-2.72
Te (0.4539, 0.3832, 0.1571)  3 Pd 2.65-2.72
Te (0.5461, 0.6168, 0.8429)  3 Pd 2.65-2.72
Te (0.6168, 0.8429, 0.5461)  3 Pd 2.65-2.72
Te (0.7031, 0.0365, 0.2217)  3 Pd 2.69-2.88
Te (0.7783, 0.2969, 0.9635)  3 Pd 2.69-2.88
Te (0.8429, 0.5461, 0.6168)  3 Pd 2.65-2.72
Te (0.9635, 0.7783, 0.2969)  3 Pd 2.69-2.88
Pd (0.0510, 0.1211, 0.3583)  5 Te 2.65-2.88, 1 Sb 2.84
Pd (0.1211, 0.3583, 0.0510)  5 Te 2.65-2.88, 1 Sb 2.84
Pd (0.3583, 0.0510, 0.1211)  5 Te 2.65-2.88, 1 Sb 2.84
Pd (0.5000, 0.5000, 0.5000)  6 Te 2.72
Pd (0.6417, 0.9490, 0.8789)  5 Te 2.65-2.88, 1 Sb 2.84
Pd (0.8789, 0.6417, 0.9490)  5 Te 2.65-2.88, 1 Sb 2.84
Pd (0.9490, 0.8789, 0.6417)  5 Te 2.65-2.88, 1 Sb 2.84



Entry 2:
Below is a geometry-optimized SbTePd structure, with properties calculated at the PBE level.

Summary:
M_tot: 0.0 Bohr magnetons per cell
excess energy over the best structure of this formula in the dataset: 15.0 meV/atom
uncorrected energy: -4.5067 eV per atom
symmetry: P2_1/c

Cell lengths 6.8827, 6.6262, 6.9084 Å; angles 90.00, 104.38, 90.00 degrees
Last column: nearest neighbours and their distance in Å.
Atoms (fractional coordinates):
Sb (0.1361, 0.1316, 0.3639)  3 Pd 2.70-2.73, 1 Te 2.93
Sb (0.1361, 0.3684, 0.8639)  3 Pd 2.70-2.73, 1 Te 2.93
Sb (0.8639, 0.6316, 0.1361)  3 Pd 2.70-2.73, 1 Te 2.93
Sb (0.8639, 0.8684, 0.6361)  3 Pd 2.70-2.73, 1 Te 2.93
Te (0.3526, 0.6288, 0.6463)  3 Pd 2.74-2.79, 1 Sb 2.93
Te (0.3526, 0.8712, 0.1463)  3 Pd 2.74-2.79, 1 Sb 2.93
Te (0.6474, 0.1288, 0.8537)  3 Pd 2.74-2.79, 1 Sb 2.93
Te (0.6474, 0.3712, 0.3537)  3 Pd 2.74-2.79, 1 Sb 2.93
Pd (0.2479, 0.0048, 0.7520)  3 Sb 2.70-2.73, 3 Te 2.74-2.79
Pd (0.2479, 0.4952, 0.2520)  3 Sb 2.70-2.73, 3 Te 2.74-2.79
Pd (0.7521, 0.5048, 0.7480)  3 Sb 2.70-2.73, 3 Te 2.74-2.79
Pd (0.7521, 0.9952, 0.2480)  3 Sb 2.70-2.73, 3 Te 2.74-2.79



Entry 3:
Below is a geometry-optimized SbTe2Pd7 structure, with properties calculated at the PBE level.

Summary:
M_tot: 0.0 Bohr magnetons per cell
uncorrected energy: -4.9777 eV per atom
symmetry: I4/mmm

Cell lengths 10.7090, 10.7090, 10.7090 Å; angles 156.87, 156.87, 32.94 degrees
Last column: nearest neighbours and their distance in Å.
Atoms (fractional coordinates):
Sb (0.0000, 0.0000, 0.0000)  12 Pd 2.82-3.04
Te (0.3311, 0.3311, 0.0000)  8 Pd 2.70-2.72
Te (0.6689, 0.6689, 0.0000)  8 Pd 2.70-2.72
Pd (0.0891, 0.5891, 0.5000)  2 Te 2.70, 2 Sb 2.82, 2 Pd 2.82
Pd (0.2500, 0.7500, 0.5000)  4 Te 2.72, 4 Pd 3.04
Pd (0.4109, 0.9109, 0.5000)  2 Te 2.70, 2 Sb 2.82, 2 Pd 2.82
Pd (0.5000, 0.5000, 0.0000)  8 Pd 2.82, 4 Sb 3.04
Pd (0.5891, 0.0891, 0.5000)  2 Te 2.70, 2 Sb 2.82, 2 Pd 2.82
Pd (0.7500, 0.2500, 0.5000)  4 Te 2.72, 4 Pd 3.04
Pd (0.9109, 0.4109, 0.5000)  2 Te 2.70, 2 Sb 2.82, 2 Pd 2.82



Entry 4:
Below is a geometry-optimized Sb2TePd structure, with properties calculated at the PBE level.

Summary:
M_tot: 0.0 Bohr magnetons per cell
uncorrected energy: -4.2728 eV per atom
symmetry: R3m

Cell lengths 7.7747, 7.7747, 7.7747 Å; angles 29.86, 29.86, 29.86 degrees
Last column: nearest neighbours and their distance in Å.
Atoms (fractional coordinates):
Sb (0.0000, 0.0000, 0.0000)  3 Pd 2.74
Sb (0.2001, 0.2001, 0.2001)  3 Pd 2.76
Te (0.7694, 0.7694, 0.7694)  6 Sb 3.17-3.25
Pd (0.6011, 0.6011, 0.6011)  6 Sb 2.74-2.76



Entry 5:
Below is a geometry-optimized SbTePd structure, with properties calculated at the PBE level.

Summary:
M_tot: 0.0 Bohr magnetons per cell
excess energy over the best structure of this formula in the dataset: 0.0 meV/atom
uncorrected energy: -4.5217 eV per atom
symmetry: P2_13

Cell lengths 6.6388, 6.6388, 6.6388 Å; angles 90.00, 90.00, 90.00 degrees
Last column: nearest neighbours and their distance in Å.
Atoms (fractional coordinates):
Sb (0.1271, 0.1271, 0.1271)  3 Pd 2.72, 1 Te 2.91
Sb (0.3729, 0.8729, 0.6271)  3 Pd 2.72, 1 Te 2.91
Sb (0.6271, 0.3729, 0.8729)  3 Pd 2.72, 1 Te 2.91
Sb (0.8729, 0.6271, 0.3729)  3 Pd 2.72, 1 Te 2.91
Te (0.1257, 0.3743, 0.6257)  3 Pd 2.77, 1 Sb 2.91
Te (0.3743, 0.6257, 0.1257)  3 Pd 2.77, 1 Sb 2.91
Te (0.6257, 0.1257, 0.3743)  3 Pd 2.77, 1 Sb 2.91
Te (0.8743, 0.8743, 0.8743)  3 Pd 2.77, 1 Sb 2.91
Pd (0.0040, 0.9960, 0.4960)  3 Sb 2.72, 3 Te 2.77
Pd (0.4960, 0.0040, 0.9960)  3 Sb 2.72, 3 Te 2.77
Pd (0.5040, 0.5040, 0.5040)  3 Sb 2.72, 3 Te 2.77
Pd (0.9960, 0.4960, 0.0040)  3 Sb 2.72, 3 Te 2.77



Entry 6:
Below is a geometry-optimized SbTePd3 structure, with properties calculated at the PBE level.

Summary:
M_tot: 0.0 Bohr magnetons per cell
excess energy over the best structure of this formula in the dataset: 0.0 meV/atom
uncorrected energy: -4.9087 eV per atom
symmetry: Pmc2_1

Cell lengths 4.3562, 7.7294, 6.4599 Å; angles 90.00, 90.00, 90.00 degrees
Last column: nearest neighbours and their distance in Å.
Atoms (fractional coordinates):
Sb (0.0000, 0.1420, 0.0000)  6 Pd 2.63-2.76
Sb (0.0000, 0.8580, 0.5000)  6 Pd 2.63-2.76
Te (0.5000, 0.3634, 0.4597)  5 Pd 2.66-2.70
Te (0.5000, 0.6366, 0.9597)  5 Pd 2.66-2.70
Pd (0.0000, 0.1913, 0.5835)  2 Sb 2.63-2.72, 2 Te 2.67
Pd (0.0000, 0.8087, 0.0835)  2 Sb 2.63-2.72, 2 Te 2.67
Pd (0.5000, 0.0642, 0.2442)  1 Te 2.70, 2 Sb 2.76, 1 Pd 2.91
Pd (0.5000, 0.2993, 0.8640)  2 Sb 2.64, 2 Te 2.66-2.68, 3 Pd 2.91-2.95
Pd (0.5000, 0.7007, 0.3640)  2 Sb 2.64, 2 Te 2.66-2.68, 3 Pd 2.91-2.95
Pd (0.5000, 0.9358, 0.7442)  1 Te 2.70, 2 Sb 2.76, 1 Pd 2.91



In order of appearance, uncorrected formation energy = -0.220, -0.354, -0.302, -0.128, -0.369, -0.340 eV per atom.